VASP calculation (PBE-GGA) on a relaxed structure of Sm3CoIr2.

Calculated values
Size of the total moment ... 0.0 μB/cell
E ... -7.026 eV per atom

Cell: 11.361 4.118 11.643 Å, 90.00 90.00 90.00°
Space group Pnma (No. 62)
Asymmetric unit:
Sm  0.054  0.250  0.120 (multiplicity 4)
Sm  0.121  0.750  0.557 (multiplicity 4)
Sm  0.204  0.250  0.802 (multiplicity 4)
Co  0.127  0.250  0.363 (multiplicity 4)
Ir  0.028  0.750  0.314 (multiplicity 4)
Ir  0.192  0.750  0.988 (multiplicity 4)



VASP calculation (PBE-GGA) on a relaxed structure of Sm3Co3Ir.

Calculated values
Size of the total moment ... 9.6 μB/cell
E ... -6.600 eV per atom

Cell: 4.315 10.152 12.551 Å, 90.00 90.00 90.00°
Space group Cmcm (No. 63)
Asymmetric unit:
Sm  0.000  0.022  0.250 (multiplicity 4)
Sm  0.000  0.271  0.603 (multiplicity 8)
Co  0.000  0.327  0.250 (multiplicity 4)
Co  0.000  0.437  0.088 (multiplicity 8)
Ir  0.000  0.000  0.000 (multiplicity 4)



VASP calculation (PBE-GGA) on a relaxed structure of SmYCoIr.

Calculated values
Size of the total moment ... 2.2 μB/cell
E ... -7.204 eV per atom

Cell: 6.878 6.878 6.878 Å, 90.00 90.00 90.00°
Space group F-43m (No. 216)
Asymmetric unit:
Sm  0.000  0.000  0.000 (multiplicity 4)
Y  0.000  0.000  0.500 (multiplicity 4)
Co  0.250  0.250  0.750 (multiplicity 4)
Ir  0.250  0.250  0.250 (multiplicity 4)



VASP calculation (PBE-GGA) on a relaxed structure of CoSn6Ir2.

Calculated values
Size of the total moment ... 0.0 μB/cell
E ... -5.533 eV per atom

Cell: 6.726 6.672 10.281 Å, 90.00 125.51 90.00°
Space group P2_1/c (No. 14)
Asymmetric unit:
Co  0.000  0.000  0.000 (multiplicity 2)
Sn  0.080  0.165  0.422 (multiplicity 4)
Sn  0.294  0.663  0.443 (multiplicity 4)
Sn  0.408  0.531  0.774 (multiplicity 4)
Ir  0.219  0.164  0.738 (multiplicity 4)



VASP calculation (PBE-GGA) on a relaxed structure of Co2Sn6Ir.

Calculated values
Energy relative to the lowest polymorph listed for this composition ... 0.0 meV per atom
Size of the total moment ... 0.0 μB/cell

Cell: 6.1123 6.1123 6.3952 Å, 90.00 90.00 120.00°
Space group P-31m (No. 162)
Asymmetric unit:
Co  0.3333  0.6667  0.0000 (multiplicity 2)
Sn  0.0000  0.3336  0.2374 (multiplicity 6)
Ir  0.0000  0.0000  0.5000 (multiplicity 1)



VASP calculation (PBE-GGA) on a relaxed structure of CoSn4Ir.

Calculated values
Energy relative to the lowest polymorph listed for this composition ... 0.0 meV per atom
Size of the total moment ... 0.0 μB/cell

Cell: 8.834 8.834 7.212 Å, 90.00 90.00 90.00°
Space group I4_1md (No. 109)
Asymmetric unit:
Co  0.000  0.000  0.000 (multiplicity 4)
Sn  0.000  0.279  0.026 (multiplicity 8)
Sn  0.000  0.299  0.509 (multiplicity 8)
Ir  0.000  0.000  0.533 (multiplicity 4)



VASP calculation (PBE-GGA) on a relaxed structure of CoSnIr3.

Calculated values
Energy relative to the lowest polymorph listed for this composition ... 0.0 meV per atom
Size of the total moment ... 2.9 μB/cell

Cell: 4.504 4.504 4.504 Å, 90.00 90.00 90.00°
Space group Pm-3m (No. 221)
Asymmetric unit:
Co  0.000  0.000  0.000 (multiplicity 1)
Sn  0.500  0.500  0.500 (multiplicity 1)
Ir  0.000  0.000  0.500 (multiplicity 3)



VASP calculation (PBE-GGA) on a relaxed structure of Co2Sn6Ir.

Calculated values
Energy relative to the lowest polymorph listed for this composition ... 24.1 meV per atom
Size of the total moment ... 0.0 μB/cell

Cell: 6.535 6.576 9.191 Å, 90.00 108.25 90.00°
Space group P2_1/c (No. 14)
Asymmetric unit:
Co  0.201  0.102  0.196 (multiplicity 4)
Sn  0.105  0.180  0.902 (multiplicity 4)
Sn  0.202  0.686  0.922 (multiplicity 4)
Sn  0.429  0.078  0.702 (multiplicity 4)
Ir  0.500  0.000  0.000 (multiplicity 2)



VASP calculation (PBE-GGA) on a relaxed structure of CoSn4Ir.

Calculated values
Energy relative to the lowest polymorph listed for this composition ... 41.6 meV per atom
Size of the total moment ... 0.0 μB/cell

Cell: 8.440 14.456 5.909 Å, 90.00 133.98 90.00°
Space group C2/c (No. 15)
Asymmetric unit:
Co  0.000  0.040  0.250 (multiplicity 4)
Sn  0.186  0.178  0.632 (multiplicity 8)
Sn  0.205  0.438  0.757 (multiplicity 8)
Ir  0.000  0.294  0.750 (multiplicity 4)



VASP calculation (PBE-GGA) on a relaxed structure of Co2Sn2Ir.

Calculated values
Size of the total moment ... 2.1 μB/cell
E ... -6.051 eV per atom

Cell: 7.023 7.023 3.115 Å, 90.00 90.00 90.00°
Space group P4/mbm (No. 127)
Asymmetric unit:
Co  0.121  0.379  0.000 (multiplicity 4)
Sn  0.178  0.678  0.500 (multiplicity 4)
Ir  0.000  0.000  0.000 (multiplicity 2)



VASP calculation (PBE-GGA) on a relaxed structure of CoSn3Ir.

Calculated values
Energy relative to the lowest polymorph listed for this composition ... 0.0 meV per atom
Size of the total moment ... 0.0 μB/cell

Cell: 4.770 4.770 4.770 Å, 90.00 90.00 90.00°
Space group Pm-3m (No. 221)
Asymmetric unit:
Co  0.000  0.000  0.000 (multiplicity 1)
Sn  0.000  0.000  0.500 (multiplicity 3)
Ir  0.500  0.500  0.500 (multiplicity 1)



VASP calculation (PBE-GGA) on a relaxed structure of UCoSnIr.

Calculated values
Size of the total moment ... 2.6 μB/cell
E ... -8.012 eV per atom

Cell: 6.627 6.627 6.627 Å, 90.00 90.00 90.00°
Space group F-43m (No. 216)
Asymmetric unit:
U  0.000  0.000  0.000 (multiplicity 4)
Co  0.250  0.250  0.750 (multiplicity 4)
Sn  0.000  0.000  0.500 (multiplicity 4)
Ir  0.250  0.250  0.250 (multiplicity 4)